VASP calculation (PBE) on an optimized crystal structure of Na3Cd7Ga2.

```
Na3Cd7Ga2
1.0
2.999 1.731 9.482
-2.999 1.731 9.482
0.000 -3.463 9.482
Na Cd Ga
3 7 2
Direct
0.000 0.000 0.000
0.144 0.144 0.144
0.856 0.856 0.856
0.077 0.586 0.586
0.414 0.414 0.923
0.414 0.923 0.414
0.500 0.500 0.500
0.586 0.077 0.586
0.586 0.586 0.077
0.923 0.414 0.414
0.334 0.334 0.334
0.666 0.666 0.666
```

Raw total energy = -17.12 eV for the cell shown
D(E_F) = 4.879 states/eV/f.u.
Space-group type = R-3m
Density = 5.59 g/cm3

VASP calculation (PBE) on an optimized crystal structure of NaLi2Nb.

```
NaLi2Nb
1.0
-3.761 3.761 3.069
3.761 -3.761 3.069
3.761 3.761 -3.069
Na Li Nb
2 4 2
Direct
0.000 0.000 0.000
0.750 0.250 0.500
0.113 0.125 0.488
0.375 0.887 0.012
0.637 0.625 0.512
0.875 0.363 0.988
0.250 0.750 0.500
0.500 0.500 0.000
```

Offset from the most stable computed form = 0.549 eV per atom
Raw total energy = -22.81 eV for the cell shown
D(E_F) = 4.189 states/eV/f.u.
Space-group type = I-42d
Density = 2.48 g/cm3

VASP calculation (PBE) on an optimized crystal structure of NbReAsSe2.

```
NbReAsSe2
1.0
4.956 0.000 0.000
0.000 4.956 0.000
0.000 0.000 5.176
Nb Re As Se
1 1 1 2
Direct
0.000 0.000 0.000
0.500 0.500 0.500
0.000 0.000 0.500
0.000 0.500 0.000
0.500 0.000 0.000
```

Offset from the most stable computed form = 0.143 eV per atom
Uncorrected formation energy = 1.08 eV/atom
Raw total energy = -28.76 eV for the cell shown
D(E_F) = 2.484 states/eV/f.u.
Space-group type = P4/mmm
Density = 6.69 g/cm3

VASP calculation (PBE) on an optimized crystal structure of Sm3HoPb2C.

```
Sm3HoPb2C
1.0
-2.421 2.474 8.236
2.421 -2.474 8.236
2.421 2.474 -8.236
Sm Ho Pb C
3 1 2 1
Direct
0.000 0.000 0.000
0.341 0.841 0.500
0.659 0.159 0.500
0.500 0.500 0.000
0.140 0.640 0.500
0.860 0.360 0.500
0.500 0.000 0.500
```

Raw total energy = -39.08 eV for the cell shown
D(E_F) = 0.806 states/eV/f.u.
Space-group type = Immm
Density = 8.77 g/cm3

VASP calculation (PBE) on an optimized crystal structure of LiIr2Ru.

```
LiIr2Ru
1.0
2.701 -3.833 0.000
2.701 3.833 0.000
0.000 0.000 2.667
Li Ir Ru
1 2 1
Direct
0.000 0.000 0.000
0.000 0.500 0.500
0.500 0.000 0.500
0.500 0.500 0.000
```

Offset from the most stable computed form = 0.027 eV per atom
Raw total energy = -28.91 eV for the cell shown
D(E_F) = 4.613 states/eV/f.u.
Space-group type = Cmmm
Density = 14.81 g/cm3

VASP calculation (PBE) on an optimized crystal structure of Sm8Ge3Te4Ir.

```
Sm8Ge3Te4Ir
1.0
4.302 2.484 7.279
-4.302 2.484 7.279
0.000 -4.967 7.279
Sm Ge Te Ir
8 3 4 1
Direct
0.242 0.242 0.242
0.244 0.736 0.736
0.264 0.264 0.756
0.264 0.756 0.264
0.736 0.244 0.736
0.736 0.736 0.244
0.756 0.264 0.264
0.758 0.758 0.758
0.000 0.000 0.500
0.000 0.500 0.000
0.500 0.000 0.000
0.000 0.000 0.000
0.000 0.500 0.500
0.500 0.000 0.500
0.500 0.500 0.000
0.500 0.500 0.500
```

Uncorrected formation energy = -1.15 eV/atom
Raw total energy = -91.37 eV for the cell shown
D(E_F) = 5.805 states/eV/f.u.
Space-group type = R-3m
Density = 7.56 g/cm3

VASP calculation (PBE) on an optimized crystal structure of NdTl3.

```
NdTl3
1.0
-2.373 2.373 5.110
2.373 -2.373 5.110
2.373 2.373 -5.110
Nd Tl
1 3
Direct
0.000 0.000 0.000
0.250 0.750 0.500
0.500 0.500 0.000
0.750 0.250 0.500
```

Raw total energy = -12.79 eV for the cell shown
D(E_F) = 3.007 states/eV/f.u.
Space-group type = I4/mmm
Density = 10.93 g/cm3

VASP calculation (PBE) on an optimized crystal structure of BaTiZnTe2.

```
BaTiZnTe2
1.0
6.493 0.000 0.000
0.000 6.493 0.000
0.000 0.000 6.435
Ba Ti Zn Te
1 1 1 2
Direct
0.000 0.000 0.000
0.000 0.000 0.500
0.500 0.500 0.500
0.000 0.500 0.000
0.500 0.000 0.000
```

Uncorrected formation energy = 0.94 eV/atom
Raw total energy = -12.66 eV for the cell shown
D(E_F) = 8.453 states/eV/f.u.
Space-group type = P4/mmm
Density = 3.10 g/cm3

The lowest D(E_F) belongs to which entry?
Sm3HoPb2C

What is the D(E_F) in the fourth record?
0.806 states/eV/f.u.

Which of these has the lowest D(E_F)?
Sm3HoPb2C